(1)
Computed, not measured: a geometry-optimized Sc2ReRh structure at the GGA-PBEsol level of DFT.

```
data_Sc2ReRh
_symmetry_space_group_name_H-M 'P 1'
_symmetry_Int_Tables_number 1
_symmetry_space_group_name_Hall 'P 1'
_cell_length_a 3.1513
_cell_length_b 4.4194
_cell_length_c 5.4748
_cell_angle_alpha 113.83
_cell_angle_beta 106.73
_cell_angle_gamma 90.00
loop_
_atom_site_label
_atom_site_fract_x
_atom_site_fract_y
_atom_site_fract_z
Re1 0.4887 0.4888 0.9773
Sc1 0.2403 0.7402 0.4805
Sc2 0.0103 0.0103 0.0206
Rh1 0.7608 0.2606 0.5215
```

Calculated values
Total DFT energy (no corrections) = -9.002 eV/atom
ΔH_f (0 K) = -0.33 eV per atom



(2)
Computed, not measured: a geometry-optimized La4CrPt structure at the GGA-PBEsol level of DFT.

```
data_La4CrPt
_symmetry_space_group_name_H-M 'P 1'
_symmetry_Int_Tables_number 1
_symmetry_space_group_name_Hall 'P 1'
_cell_length_a 6.1198
_cell_length_b 6.1198
_cell_length_c 6.1198
_cell_angle_alpha 60.00
_cell_angle_beta 60.00
_cell_angle_gamma 60.00
loop_
_atom_site_label
_atom_site_fract_x
_atom_site_fract_y
_atom_site_fract_z
La1 0.3757 0.3757 0.8729
La2 0.3757 0.3757 0.3757
La3 0.3757 0.8729 0.3757
La4 0.8729 0.3757 0.3757
Cr1 0.0000 0.0000 0.0000
Pt1 0.7500 0.7500 0.7500
```

Calculated values
Total DFT energy (no corrections) = -5.751 eV/atom
ΔH_f (0 K) = 0.68 eV per atom



(3)
Computed, not measured: a geometry-optimized Bi2Mo3O12 structure at the GGA-PBEsol level of DFT.

```
data_Bi2Mo3O12
_symmetry_space_group_name_H-M 'P 1'
_symmetry_Int_Tables_number 1
_symmetry_space_group_name_Hall 'P 1'
_cell_length_a 7.6853
_cell_length_b 11.1102
_cell_length_c 11.3062
_cell_angle_alpha 90.00
_cell_angle_beta 90.00
_cell_angle_gamma 104.43
loop_
_atom_site_label
_atom_site_fract_x
_atom_site_fract_y
_atom_site_fract_z
Bi1 0.9990 0.2611 0.6307
Bi2 0.5010 0.2389 0.1307
Bi3 0.4990 0.7611 0.8693
Bi4 0.0010 0.7389 0.3693
Bi5 0.8317 0.9237 0.1283
Bi6 0.3317 0.4237 0.3717
Bi7 0.6683 0.5763 0.6283
Bi8 0.1683 0.0763 0.8717
O1 0.1750 0.7179 0.5485
O2 0.1929 0.7083 0.8132
O3 0.0537 0.4291 0.2897
O4 0.1779 0.2390 0.4492
O5 0.1960 0.4317 0.7927
O6 0.5537 0.9291 0.2103
O7 0.9351 0.0761 0.5465
O8 0.9259 0.1472 0.8049
O9 0.5473 0.4238 0.7883
O10 0.8221 0.7610 0.5508
O11 0.6779 0.7390 0.0508
O12 0.9527 0.0762 0.2883
O13 0.6782 0.9757 0.9415
O14 0.4980 0.3475 0.5578
O15 0.0649 0.9239 0.4535
O16 0.8040 0.5683 0.2073
O17 0.7451 0.7013 0.7916
O18 0.3218 0.0243 0.0585
O19 0.3986 0.0944 0.5260
O20 0.5741 0.3528 0.3049
O21 0.5020 0.6525 0.4422
O22 0.3250 0.7821 0.0485
O23 0.1782 0.4757 0.5585
O24 0.0741 0.8528 0.1951
O25 0.3221 0.2610 0.9492
O26 0.2549 0.2987 0.2084
O27 0.4351 0.5761 0.9535
O28 0.8218 0.5243 0.4415
O29 0.9980 0.8475 0.9422
O30 0.5649 0.4239 0.0465
O31 0.6960 0.9317 0.7073
O32 0.3040 0.0683 0.2927
O33 0.4463 0.0709 0.7897
O34 0.4259 0.6472 0.6951
O35 0.6929 0.2083 0.6868
O36 0.0473 0.9238 0.7117
O37 0.9463 0.5709 0.7103
O38 0.3071 0.7917 0.3132
O39 0.0020 0.1525 0.0578
O40 0.8071 0.2917 0.1868
O41 0.7549 0.7987 0.2916
O42 0.1014 0.4056 0.0260
O43 0.8250 0.2821 0.4515
O44 0.2451 0.2013 0.7084
O45 0.8986 0.5944 0.9740
O46 0.6750 0.2179 0.9515
O47 0.6014 0.9056 0.4740
O48 0.4527 0.5762 0.2117
Mo1 0.4621 0.2043 0.6324
Mo2 0.9621 0.7043 0.8676
Mo3 0.8177 0.3943 0.3487
Mo4 0.3712 0.4194 0.8862
Mo5 0.1288 0.0806 0.3862
Mo6 0.6288 0.5806 0.1138
Mo7 0.0379 0.2957 0.1324
Mo8 0.5379 0.7957 0.3676
Mo9 0.8712 0.9194 0.6138
Mo10 0.3177 0.8943 0.1513
Mo11 0.1823 0.6057 0.6513
Mo12 0.6823 0.1057 0.8487
```

Calculated values
Formation energy (no corrections) = -1.803 eV per atom
Total DFT energy (no corrections) = -8.090 eV/atom



(4)
Computed, not measured: a geometry-optimized TiRh2CS structure at the GGA-PBEsol level of DFT.

```
data_TiRh2CS
_symmetry_space_group_name_H-M 'P 1'
_symmetry_Int_Tables_number 1
_symmetry_space_group_name_Hall 'P 1'
_cell_length_a 3.8002
_cell_length_b 3.8002
_cell_length_c 4.9311
_cell_angle_alpha 90.00
_cell_angle_beta 90.00
_cell_angle_gamma 90.00
loop_
_atom_site_label
_atom_site_fract_x
_atom_site_fract_y
_atom_site_fract_z
S1 0.0000 0.0000 0.5000
C1 0.0000 0.0000 0.0000
Rh1 0.5000 0.0000 0.0000
Rh2 0.0000 0.5000 0.0000
Ti1 0.5000 0.5000 0.5000
```

Calculated values
Formation energy (no corrections) = 0.190 eV per atom
Total DFT energy (no corrections) = -7.536 eV/atom



(5)
Computed, not measured: a geometry-optimized HoO3 structure at the GGA-PBEsol level of DFT.

```
data_HoO3
_symmetry_space_group_name_H-M 'P 1'
_symmetry_Int_Tables_number 1
_symmetry_space_group_name_Hall 'P 1'
_cell_length_a 4.5227
_cell_length_b 4.5728
_cell_length_c 4.5728
_cell_angle_alpha 120.00
_cell_angle_beta 90.00
_cell_angle_gamma 90.00
loop_
_atom_site_label
_atom_site_fract_x
_atom_site_fract_y
_atom_site_fract_z
O1 0.2500 0.6404 0.8202
O2 0.7500 0.3596 0.1798
O3 0.7500 0.8202 0.6404
O4 0.2500 0.1798 0.3596
O5 0.7500 0.8202 0.1798
O6 0.2500 0.1798 0.8202
Ho1 0.7500 0.3333 0.6667
Ho2 0.2500 0.6667 0.3333
```

Calculated values
Formation energy (no corrections) = -1.546 eV per atom
Total DFT energy (no corrections) = -6.721 eV/atom



(6)
Computed, not measured: a geometry-optimized Y5Cd structure at the GGA-PBEsol level of DFT.

```
data_Y5Cd
_symmetry_space_group_name_H-M 'P 1'
_symmetry_Int_Tables_number 1
_symmetry_space_group_name_Hall 'P 1'
_cell_length_a 3.5403
_cell_length_b 3.5403
_cell_length_c 13.8273
_cell_angle_alpha 90.00
_cell_angle_beta 90.00
_cell_angle_gamma 90.00
loop_
_atom_site_label
_atom_site_fract_x
_atom_site_fract_y
_atom_site_fract_z
Y1 0.0000 0.0000 0.3561
Y2 0.0000 0.0000 0.0000
Y3 0.0000 0.0000 0.6439
Y4 0.5000 0.5000 0.1772
Y5 0.5000 0.5000 0.8228
Cd1 0.5000 0.5000 0.5000
```

Calculated values
Total DFT energy (no corrections) = -5.989 eV/atom
ΔH_f (0 K) = -0.10 eV per atom



(7)
Computed, not measured: a geometry-optimized InIrW2 structure at the GGA-PBEsol level of DFT.

```
data_InIrW2
_symmetry_space_group_name_H-M 'P 1'
_symmetry_Int_Tables_number 1
_symmetry_space_group_name_Hall 'P 1'
_cell_length_a 2.7874
_cell_length_b 5.0589
_cell_length_c 5.0589
_cell_angle_alpha 115.91
_cell_angle_beta 90.02
_cell_angle_gamma 90.02
loop_
_atom_site_label
_atom_site_fract_x
_atom_site_fract_y
_atom_site_fract_z
W1 0.0000 0.5000 0.0000
W2 0.0000 0.0000 0.5000
In1 0.5000 0.5000 0.5000
Ir1 0.5000 0.0000 0.0000
```

Calculated values
Total DFT energy (no corrections) = -9.756 eV/atom
ΔH_f (0 K) = 0.35 eV per atom



(8)
Computed, not measured: a geometry-optimized LiReNi2 structure at the GGA-PBEsol level of DFT.

```
data_LiReNi2
_symmetry_space_group_name_H-M 'P 1'
_symmetry_Int_Tables_number 1
_symmetry_space_group_name_Hall 'P 1'
_cell_length_a 2.5307
_cell_length_b 2.5307
_cell_length_c 7.5560
_cell_angle_alpha 90.00
_cell_angle_beta 90.00
_cell_angle_gamma 90.00
loop_
_atom_site_label
_atom_site_fract_x
_atom_site_fract_y
_atom_site_fract_z
Ni1 0.0000 0.0000 0.0158
Ni2 0.5000 0.5000 0.2349
Li1 0.5000 0.5000 0.7709
Re1 0.0000 0.0000 0.4784
```

Calculated values
Total DFT energy (no corrections) = -6.725 eV/atom
ΔH_f (0 K) = 0.18 eV per atom